[1]
## Ac2Tl2Zn (GGA-PBE)

Data for a relaxed structure of Ac2Tl2Zn.

Summary:
Space-group type: C2/m
Raw total energy (eV/atom): -3.17
Magnetic moment (μB per formula unit): 0.002

```
Ac2Tl2Zn
1.0
5.9912 -2.4914 0.0000
5.9912 2.4914 0.0000
-5.7205 0.0000 10.6044
Ac Tl Zn
4 4 2
direct
0.0155 0.0155 0.3370 Ac
0.1825 0.1825 0.1050 Ac
0.8175 0.8175 0.8950 Ac
0.9845 0.9845 0.6630 Ac
0.3482 0.3482 0.4399 Tl
0.4766 0.4766 0.1206 Tl
0.5234 0.5234 0.8794 Tl
0.6518 0.6518 0.5601 Tl
0.2786 0.2786 0.6599 Zn
0.7214 0.7214 0.3401 Zn
```

[2]
## AcTlZn (GGA-PBE)

Data for a relaxed structure of AcTlZn.

Summary:
Space-group type: C2/m
Raw total energy (eV/atom): -2.85
Magnetic moment (μB per formula unit): 0.000

```
AcTlZn
1.0
17.3967 0.0000 0.0000
0.0000 4.9111 0.0000
-0.9136 0.0000 4.1794
Ac Tl Zn
4 4 4
direct
0.1103 0.0000 0.3478 Ac
0.3897 0.5000 0.6522 Ac
0.6103 0.5000 0.3478 Ac
0.8897 0.0000 0.6522 Ac
0.2027 0.5000 0.8690 Tl
0.2973 0.0000 0.1310 Tl
0.7027 0.0000 0.8690 Tl
0.7973 0.5000 0.1310 Tl
0.0368 0.5000 0.7844 Zn
0.4632 0.0000 0.2156 Zn
0.5367 0.0000 0.7844 Zn
0.9632 0.5000 0.2156 Zn
```

[3]
## Ac2TlZn3 (GGA-PBE)

Data for a relaxed structure of Ac2TlZn3.

Summary:
Space-group type: Imm2
Raw total energy (eV/atom): -2.68
Magnetic moment (μB per formula unit): 0.365

```
Ac2TlZn3
1.0
4.3436 0.0000 0.0000
0.0000 4.6740 0.0000
0.0000 0.0000 16.4591
Ac Tl Zn
4 2 6
direct
0.0000 0.0000 0.0000 Ac
0.0000 0.5000 0.2613 Ac
0.5000 0.0000 0.7613 Ac
0.5000 0.5000 0.5000 Ac
0.0000 0.0000 0.5898 Tl
0.5000 0.5000 0.0898 Tl
0.0000 0.0000 0.4171 Zn
0.0000 0.5000 0.6812 Zn
0.0000 0.5000 0.8385 Zn
0.5000 0.0000 0.1812 Zn
0.5000 0.0000 0.3385 Zn
0.5000 0.5000 0.9171 Zn
```

[4]
## Ac3Tl2Zn (GGA-PBE)

Data for a relaxed structure of Ac3Tl2Zn.

Summary:
Space-group type: C2/c
Raw total energy (eV/atom): -3.29
Magnetic moment (μB per formula unit): 0.000

```
Ac3Tl2Zn
1.0
8.5084 -3.4573 0.0000
8.5084 3.4573 0.0000
-1.5472 0.0000 6.8906
Ac Tl Zn
6 4 2
direct
0.1379 0.8621 0.7500 Ac
0.2278 0.4409 0.3994 Ac
0.4409 0.2278 0.8994 Ac
0.5591 0.7722 0.1006 Ac
0.7722 0.5591 0.6006 Ac
0.8621 0.1379 0.2500 Ac
0.0508 0.2776 0.0383 Tl
0.2776 0.0508 0.5383 Tl
0.7224 0.9492 0.4617 Tl
0.9492 0.7224 0.9617 Tl
0.3631 0.6369 0.2500 Zn
0.6369 0.3631 0.7500 Zn
```

[5]
## AcTl2Zn2 (GGA-PBE)

Data for a relaxed structure of AcTl2Zn2.

Summary:
Space-group type: I4/mmm
Raw total energy (eV/atom): -2.52
Magnetic moment (μB per formula unit): 0.000

```
AcTl2Zn2
1.0
4.7132 0.0000 0.0000
0.0000 4.7132 0.0000
0.0000 0.0000 11.4938
Ac Tl Zn
2 4 4
direct
0.0000 0.0000 0.0000 Ac
0.5000 0.5000 0.5000 Ac
0.0000 0.5000 0.2500 Tl
0.0000 0.5000 0.7500 Tl
0.5000 0.0000 0.2500 Tl
0.5000 0.0000 0.7500 Tl
0.0000 0.0000 0.3941 Zn
0.0000 0.0000 0.6059 Zn
0.5000 0.5000 0.1059 Zn
0.5000 0.5000 0.8941 Zn
```

[6]
## Ac2ZrTl (GGA-PBE)

Data for a relaxed structure of Ac2ZrTl.

Summary:
Space-group type: R-3m
Raw total energy (eV/atom): -4.39
Magnetic moment (μB per formula unit): 0.621

```
Ac2ZrTl
1.0
3.5843 0.0000 0.0000
-1.7921 3.1041 0.0000
0.0000 0.0000 37.2246
Ac Zr Tl
6 3 3
direct
0.0000 0.0000 0.0873 Ac
0.0000 0.0000 0.9127 Ac
0.3333 0.6667 0.5793 Ac
0.3333 0.6667 0.7540 Ac
0.6667 0.3333 0.2460 Ac
0.6667 0.3333 0.4207 Ac
0.0000 0.0000 0.0000 Zr
0.3333 0.6667 0.6667 Zr
0.6667 0.3333 0.3333 Zr
0.0000 0.0000 0.5000 Tl
0.3333 0.6667 0.1667 Tl
0.6667 0.3333 0.8333 Tl
```

[7]
## AcZrTl2 (GGA-PBE)

Data for a relaxed structure of AcZrTl2.

Summary:
Space-group type: P4/mmm
Raw total energy (eV/atom): -4.31
Magnetic moment (μB per formula unit): 0.000

```
AcZrTl2
1.0
5.6706 0.0000 0.0000
0.0000 5.6706 0.0000
0.0000 0.0000 3.6161
Ac Zr Tl
1 1 2
direct
0.0000 0.0000 0.0000 Ac
0.5000 0.5000 0.0000 Zr
0.0000 0.5000 0.5000 Tl
0.5000 0.0000 0.5000 Tl
```

[8]
## Ac2ZrTl (GGA-PBE)

Data for a relaxed structure of Ac2ZrTl.

Summary:
Space-group type: P4/mmm
Raw total energy (eV/atom): -4.70
Magnetic moment (μB per formula unit): 0.000

```
Ac2ZrTl
1.0
5.1652 0.0000 0.0000
0.0000 5.1652 0.0000
0.0000 0.0000 4.8935
Ac Zr Tl
2 1 1
direct
0.0000 0.5000 0.0000 Ac
0.5000 0.0000 0.0000 Ac
0.0000 0.0000 0.5000 Zr
0.5000 0.5000 0.5000 Tl
```